Record 1
VASP calculation (PBE-GGA) on RbNbI6 after structural relaxation.

Cell lengths 9.5381, 10.4595, 8.5737 Å; angles 90.00, 116.79, 90.00 degrees
Last column: nearest neighbours and their distance in Å.
Space group C2/m (No. 12)
Asymmetric unit:
Rb (0.0000, 0.0000, 0.0000) (multiplicity 2)  10 I 3.87-4.25
Nb (0.0000, 0.5000, 0.5000) (multiplicity 2)  6 I 2.75-2.80
I (0.1126, 0.3103, 0.7574) (multiplicity 8)  1 Nb 2.80
I (0.2176, 0.0000, 0.5150) (multiplicity 4)  1 Nb 2.75

Total energy   -25.622 eV/f.u.
ΔE_f (raw)   -0.66 eV/atom
ΔE to the lowest computed polymorph   0 meV/atom

Record 2
VASP calculation (PBE-GGA) on MgAsCl2 after structural relaxation.

Cell lengths 6.9982, 6.9982, 6.9982 Å; angles 90.00, 90.00, 90.00 degrees
Last column: nearest neighbours and their distance in Å.
Space group F-43m (No. 216)
Asymmetric unit:
Mg (0.0000, 0.0000, 0.0000) (multiplicity 4)  4 Cl 3.03, 4 As 3.03
As (0.2500, 0.2500, 0.2500) (multiplicity 4)  4 Cl 3.03, 4 Mg 3.03
Cl (0.0000, 0.0000, 0.5000) (multiplicity 4)  4 Cl 3.03, 4 As 3.03
Cl (0.2500, 0.2500, 0.7500) (multiplicity 4)  4 Cl 3.03, 4 Mg 3.03

Total energy   -9.947 eV/f.u.
ΔE_f (raw)   0.00 eV/atom
ΔE to the lowest computed polymorph   884 meV/atom

Record 3
VASP calculation (PBE-GGA) on Cd4OF2 after structural relaxation.

Cell lengths 4.3558, 4.3558, 16.1636 Å; angles 90.00, 90.00, 90.00 degrees
Last column: nearest neighbours and their distance in Å.
Space group I4/mmm (No. 139)
Asymmetric unit:
Cd (0.0000, 0.0000, 0.2370) (multiplicity 4)  1 F 2.50
Cd (0.0000, 0.5000, 0.0000) (multiplicity 4)  2 O 2.18
O (0.0000, 0.0000, 0.5000) (multiplicity 2)  4 Cd 2.18
F (0.0000, 0.0000, 0.0821) (multiplicity 4)  5 Cd 2.50-2.55, 1 F 2.66

Total energy   -19.729 eV/f.u.
ΔE_f (raw)   -1.05 eV/atom

Record 4
VASP calculation (PBE-GGA) on Dy3HoEr2Sb6 after structural relaxation.

Cell lengths 19.0430, 4.3688, 8.7385 Å; angles 90.00, 103.20, 90.00 degrees
Last column: nearest neighbours and their distance in Å.
Space group C2/m (No. 12)
Asymmetric unit:
Dy (0.0000, 0.0000, 0.0000) (multiplicity 2)  6 Sb 3.09-3.10
Dy (0.1665, 0.5000, 0.3329) (multiplicity 4)  6 Sb 3.10
Ho (0.0000, 0.0000, 0.5000) (multiplicity 2)  6 Sb 3.08-3.09
Er (0.1667, 0.5000, 0.8331) (multiplicity 4)  6 Sb 3.08
Sb (0.0006, 0.5000, 0.7495) (multiplicity 4)  1 Er 3.08, 2 Ho 3.08, 3 Dy 3.09-3.10
Sb (0.1665, 0.0000, 0.5844) (multiplicity 4)  2 Er 3.08, 1 Ho 3.09, 3 Dy 3.10
Sb (0.1672, 0.0000, 0.0818) (multiplicity 4)  3 Er 3.08, 3 Dy 3.10

Total energy   -65.645 eV/f.u.
ΔE_f (raw)   -1.12 eV/atom

Record 5
VASP calculation (PBE-GGA) on RbCa3Sc after structural relaxation.

Cell lengths 5.9489, 5.9489, 5.9489 Å; angles 90.00, 90.00, 90.00 degrees
Last column: nearest neighbours and their distance in Å.
Space group Pm-3m (No. 221)
Asymmetric unit:
Rb (0.0000, 0.0000, 0.0000) (multiplicity 1)  6 Ca 2.97
Ca (0.0000, 0.0000, 0.5000) (multiplicity 3)  2 Rb 2.97
Sc (0.5000, 0.5000, 0.5000) (multiplicity 1)  12 Ca 4.21

Total energy   -7.620 eV/f.u.
ΔE to the lowest computed polymorph   589 meV/atom

Record 6
VASP calculation (PBE-GGA) on NaTlHgTe2 after structural relaxation.

Cell lengths 16.5807, 4.8356, 11.2889 Å; angles 90.00, 126.43, 90.00 degrees
Last column: nearest neighbours and their distance in Å.
Space group C2/m (No. 12)
Asymmetric unit:
Na (0.1353, 0.0000, 0.3812) (multiplicity 4)  4 Te 3.10-3.16
Tl (0.2268, 0.5000, 0.1575) (multiplicity 4)  5 Te 3.30-3.51
Hg (0.0516, 0.5000, 0.7088) (multiplicity 4)  4 Te 2.92-2.99
Te (0.0906, 0.0000, 0.8808) (multiplicity 4)  2 Hg 2.92, 1 Na 3.10
Te (0.1566, 0.5000, 0.5702) (multiplicity 4)  2 Hg 2.95-2.99, 3 Na 3.10-3.16

Total energy   -12.336 eV/f.u.
ΔE_f (raw)   -0.41 eV/atom

Record 7
VASP calculation (PBE-GGA) on Ac2Ga4Pd3Pb after structural relaxation.

Cell lengths 4.5229, 4.5229, 10.8734 Å; angles 90.00, 90.00, 90.00 degrees
Last column: nearest neighbours and their distance in Å.
Space group P-4m2 (No. 115)
Asymmetric unit:
Ac (0.0000, 0.5000, 0.2357) (multiplicity 2)  8 Ga 3.42, 6 Pd 3.45-3.66, 2 Pb 3.66
Ga (0.0000, 0.0000, 0.0000) (multiplicity 1)  4 Pd 2.60
Ga (0.0000, 0.5000, 0.6529) (multiplicity 2)  1 Pd 2.50
Ga (0.5000, 0.5000, 0.0000) (multiplicity 1)  4 Pd 2.60
Pd (0.0000, 0.5000, 0.8828) (multiplicity 2)  5 Ga 2.50-2.60
Pd (0.5000, 0.5000, 0.5000) (multiplicity 1)  4 Ga 2.81
Pb (0.0000, 0.0000, 0.5000) (multiplicity 1)  4 Ga 2.81

Total energy   -46.380 eV/f.u.

Record 8
VASP calculation (PBE-GGA) on CaSi2Ni after structural relaxation.

Cell lengths 5.4335, 8.4580, 2.8342 Å; angles 90.00, 90.00, 90.00 degrees
Last column: nearest neighbours and their distance in Å.
Space group Cmmm (No. 65)
Asymmetric unit:
Ca (0.0000, 0.0000, 0.0000) (multiplicity 2)  2 Ni 2.72, 2 Ca 2.83, 8 Si 2.89
Si (0.2500, 0.2500, 0.5000) (multiplicity 4)  4 Si 2.72-2.83, 4 Ni 2.89, 4 Ca 2.89
Ni (0.0000, 0.5000, 0.0000) (multiplicity 2)  2 Ca 2.72, 2 Ni 2.83, 8 Si 2.89

Total energy   -18.195 eV/f.u.
ΔE_f (raw)   0.11 eV/atom